1.
Ce2SiRh | PBE-GGA | optimized geometry

Structure (POSCAR):
```
Ce2SiRh
1.0
6.453 0.000 3.552
3.015 4.842 2.160
0.895 -0.523 6.011
Ce Si Rh
4 2 2
Cartesian
2.972 0.931 6.056
4.165 3.389 3.890
7.391 3.389 5.666
6.199 0.931 7.832
5.759 0.932 4.813
4.605 3.387 6.910
2.360 0.496 3.349
8.003 3.823 8.373
```

Properties
The value obtained for the energy relative to the elements, uncorrected is -0.643 eV/atom. The calculation puts the calculated volume at 174.1 Å³ per cell. The total energy comes out at -6.803 eV per atom.

=====

2.
KNaHg5 | PBE-GGA | optimized geometry

Structure (POSCAR):
```
KNaHg5
1.0
-6.205 1.987 -0.281
-1.831 -6.729 -7.162
-3.131 -8.530 8.816
K Na Hg
4 4 20
Cartesian
-4.953 -9.208 6.426
-6.489 -3.945 1.882
-4.677 -9.327 -0.509
-6.213 -4.064 -5.053
-5.772 -12.491 1.308
-6.932 -5.843 -1.762
-4.234 -7.429 3.135
-5.394 -0.782 0.065
-2.759 -3.859 -4.207
-7.932 -8.989 -1.917
-3.234 -4.284 3.290
-8.408 -9.414 5.580
-7.485 -6.774 3.884
-2.580 -2.628 0.547
-8.586 -10.644 0.826
-3.681 -6.499 -2.511
-3.516 -6.475 -5.992
-7.525 -7.326 0.852
-3.641 -5.947 0.521
-7.651 -6.798 7.365
-7.500 -2.629 -1.722
-2.386 -6.284 5.648
-5.891 -7.913 -4.144
-6.555 -9.718 2.964
-3.666 -10.643 3.095
-8.780 -6.988 -4.275
-5.275 -5.359 5.517
-4.611 -3.554 -1.591
```

Properties
The calculation puts the energy of formation at -0.1946 eV/atom. The calculation puts the calculated volume at 825.3 Å³ per cell. The total energy comes out at -0.755 eV per atom.